1.
An optimized crystal structure of CsLiBiSe2, computed with PBE.

Lattice parameters (Å, degrees): 4.1581 8.2751 9.0451 90.01 90.00 90.00
Sites, in units of the cell vectors:
Bi1 0.5000 0.0000 0.7500
Cs1 0.9998 0.5000 0.2500
Cs2 0.0002 0.5000 0.7500
Bi2 0.5000 0.0000 0.2500
Se1 0.5006 0.7702 0.5000
Se2 0.4994 0.7702 0.0000
Se3 0.5006 0.2298 0.0000
Li1 0.0000 0.0000 0.0000
Li2 0.0000 0.0000 0.5000
Se4 0.4994 0.2298 0.5000

Summary:
uncorrected energy: -35.24 eV/cell
raw formation energy: -0.800 eV per atom
N(E_F): 0.38 states/eV/f.u.
crystal system: orthorhombic


2.
An optimized crystal structure of ZrHgW2, computed with PBE.

Lattice parameters (Å, degrees): 5.6950 5.6950 2.8222 78.71 78.71 119.41
Sites, in units of the cell vectors:
Zr1 0.5000 0.0000 0.5000
W1 0.5000 0.5000 0.0000
Hg1 0.0000 0.5000 0.5000
W2 0.0000 0.0000 0.0000

Summary:
uncorrected energy: -32.99 eV/cell
energy relative to the elements: 0.44 eV/atom
N(E_F): 2.90 states/eV/f.u.
crystal system: monoclinic


3.
An optimized crystal structure of ZrTl2GeS5, computed with PBE.

Lattice parameters (Å, degrees): 3.7413 9.3815 14.3069 90.00 90.00 101.50
Sites, in units of the cell vectors:
S1 0.6628 0.3255 0.5086
Tl1 0.8664 0.7329 0.1712
S2 0.6861 0.3722 0.9007
S3 0.0506 0.1012 0.0177
Tl2 0.1336 0.2671 0.6712
S4 0.4977 0.9954 0.2922
S5 0.3372 0.6745 0.0086
S6 0.6957 0.3914 0.1507
Tl3 0.8703 0.7405 0.8302
S7 0.5023 0.0046 0.7922
Ge1 0.4361 0.8722 0.4186
S8 0.3139 0.6278 0.4007
Ge2 0.5639 0.1278 0.9186
S9 0.3043 0.6086 0.6507
Tl4 0.1297 0.2595 0.3302
S10 0.9494 0.8988 0.5177
Zr1 0.2096 0.4192 0.0340
Zr2 0.7904 0.5808 0.5340

Summary:
uncorrected energy: -90.66 eV/cell
raw formation energy: -0.755 eV per atom
crystal system: orthorhombic


4.
An optimized crystal structure of Ca3P2Ir3, computed with PBE.

Lattice parameters (Å, degrees): 5.5657 7.6136 14.5816 90.00 90.00 90.00
Sites, in units of the cell vectors:
P1 0.6148 0.6366 0.9008
Ir1 0.8848 0.8482 0.9603
Ca1 0.1210 0.4799 0.8897
Ir2 0.8848 0.8482 0.5397
Ir3 0.6152 0.3482 0.5397
Ca2 0.3790 0.9799 0.6103
Ir4 0.1152 0.1518 0.4603
Ca3 0.1210 0.4799 0.6103
Ir5 0.3848 0.6518 0.0397
Ca4 0.6210 0.0201 0.1103
Ir6 0.0398 0.1779 0.7500
Ir7 0.5398 0.3221 0.2500
Ca5 0.4246 0.6748 0.2500
Ca6 0.6210 0.0201 0.3897
P2 0.1148 0.8634 0.0992
P3 0.3852 0.3634 0.4008
Ir8 0.3848 0.6518 0.4603
Ir9 0.1152 0.1518 0.0397
Ca7 0.8790 0.5201 0.3897
Ca8 0.9246 0.8252 0.7500
Ca9 0.0754 0.1748 0.2500
Ir10 0.9602 0.8221 0.2500
Ca10 0.3790 0.9799 0.8897
Ca11 0.5754 0.3252 0.7500
Ir11 0.4602 0.6779 0.7500
P4 0.8852 0.1366 0.9008
Ir12 0.6152 0.3482 0.9603
Ca12 0.8790 0.5201 0.1103
P5 0.6148 0.6366 0.5992
P6 0.1148 0.8634 0.4008
P7 0.3852 0.3634 0.0992
P8 0.8852 0.1366 0.5992

Summary:
uncorrected energy: -199.62 eV/cell
energy relative to the elements: -0.81 eV/atom
N(E_F): 2.77 states/eV/f.u.
crystal system: orthorhombic


5.
An optimized crystal structure of Y2MnCu2, computed with PBE.

Lattice parameters (Å, degrees): 3.4342 3.4342 9.0180 79.02 79.02 90.00
Last column: magnetic moment on the atom in μB.
Sites, in units of the cell vectors:
Y1 0.3940 0.3940 0.2120  -0.23
Cu1 0.2500 0.7500 0.5000  0.00
Cu2 0.7500 0.2500 0.5000  0.00
Mn1 0.0000 0.0000 0.0000  3.20
Y2 0.6060 0.6060 0.7880  -0.23

Summary:
uncorrected energy: -29.62 eV/cell
energy relative to the elements: 0.13 eV/atom
N(E_F): 6.00 states/eV/f.u.
crystal system: tetragonal


6.
An optimized crystal structure of K4Pu3AlSe8, computed with PBE.

Lattice parameters (Å, degrees): 8.4235 9.0250 8.4237 117.83 120.00 90.00
Last column: magnetic moment on the atom in μB.
Sites, in units of the cell vectors:
Se1 0.7800 0.3054 0.5599  -0.07
Se2 0.7355 0.7064 0.4710  -0.10
Pu1 0.5000 0.5000 0.5000  5.11
Se3 0.2453 0.3055 0.0254  -0.07
K1 0.5000 0.0000 0.0000  0.00
Pu2 0.5000 0.5000 0.0000  5.11
Se4 0.2200 0.6946 0.4401  -0.07
Se5 0.2645 0.2936 0.5290  -0.10
K2 0.0000 0.0000 0.5000  0.00
Al1 0.0000 0.5000 0.0000  0.04
Se6 0.7801 0.3055 0.0254  -0.07
K3 0.0000 0.0000 0.0000  0.00
K4 0.5000 0.0000 0.5000  0.00
Pu3 0.0000 0.5000 0.5000  5.11
Se7 0.2199 0.6945 0.9746  -0.07
Se8 0.7547 0.6945 0.9746  -0.07

Summary:
uncorrected energy: -99.94 eV/cell
raw formation energy: -1.308 eV per atom
N(E_F): 32.29 states/eV/f.u.
crystal system: trigonal


7.
An optimized crystal structure of Zn2Cd2GaPd5, computed with PBE.

Lattice parameters (Å, degrees): 3.6673 9.4881 9.4881 90.00 90.00 90.00
Sites, in units of the cell vectors:
Zn1 0.0000 0.6290 0.8710
Pd1 0.5000 0.0000 0.5000
Pd2 0.5000 0.3109 0.5835
Cd1 0.0000 0.6689 0.1689
Pd3 0.5000 0.1891 0.0835
Zn2 0.0000 0.8710 0.3710
Pd4 0.5000 0.5835 0.6891
Pd5 0.5000 0.5000 0.0000
Pd6 0.5000 0.6891 0.4165
Ga1 0.0000 0.5000 0.5000
Ga2 0.0000 0.0000 0.0000
Zn3 0.0000 0.3710 0.1290
Pd7 0.5000 0.8109 0.9165
Pd8 0.5000 0.0835 0.8109
Zn4 0.0000 0.1290 0.6290
Cd2 0.0000 0.3311 0.8311
Pd9 0.5000 0.9165 0.1891
Cd3 0.0000 0.8311 0.6689
Cd4 0.0000 0.1689 0.3311
Pd10 0.5000 0.4165 0.3109

Summary:
uncorrected energy: -74.82 eV/cell
energy relative to the elements: -0.40 eV/atom
N(E_F): 3.65 states/eV/f.u.
crystal system: tetragonal


8.
An optimized crystal structure of FeCoS2, computed with PBE.

Lattice parameters (Å, degrees): 7.0792 7.0792 7.0792 25.29 25.29 25.29
Sites, in units of the cell vectors:
S1 0.1026 0.1026 0.1026
Co1 0.5000 0.5000 0.5000
Fe1 0.0000 0.0000 0.0000
S2 0.8974 0.8974 0.8974

Summary:
uncorrected energy: -23.50 eV/cell
raw formation energy: 0.082 eV per atom
offset from the most stable computed form: 591 meV per atom
N(E_F): 4.89 states/eV/f.u.
crystal system: trigonal